[1]
# AlSiF GGA-PBE optimized geometry
# V: 17.0 Å³/atom
# N(E_F): 0.03 states/eV/cell
# Relative energy among the computed polymorphs: 103 meV/atom
data_AlSiF
_chemical_formula_sum 'Al2 Si2 F2'
_symmetry_space_group_name_H-M 'P 1'
_symmetry_Int_Tables_number 1
_cell_length_a 3.6678
_cell_length_b 4.7719
_cell_length_c 6.1896
_cell_angle_alpha 78.99
_cell_angle_beta 73.57
_cell_angle_gamma 88.89
loop_
_symmetry_equiv_pos_as_xyz
'x,y,z'
loop_
_atom_site_label
_atom_site_type_symbol
_atom_site_fract_x
_atom_site_fract_y
_atom_site_fract_z
_atom_site_occupancy
Al1 Al 0.0000 0.0000 0.0000 1
Al2 Al 0.1314 0.4697 0.4151 1
Si1 Si 0.0462 0.8794 0.6154 1
Si2 Si 0.6521 0.1016 0.3851 1
F1 F 0.2285 0.6732 0.1199 1
F2 F 0.4082 0.2214 0.9191 1



[2]
# AlSiF GGA-PBE optimized geometry
# V: 15.9 Å³/atom
# N(E_F): 2.13 states/eV/cell
# Relative energy among the computed polymorphs: 104 meV/atom
data_AlSiF
_chemical_formula_sum 'Al4 Si4 F4'
_symmetry_space_group_name_H-M 'C 1 2/m 1'
_symmetry_Int_Tables_number 12
_cell_length_a 5.5720
_cell_length_b 11.7180
_cell_length_c 3.8916
_cell_angle_alpha 90.00
_cell_angle_beta 131.18
_cell_angle_gamma 90.00
loop_
_symmetry_equiv_pos_as_xyz
'x,y,z'
'-x,-y,-z'
'-x,y,-z'
'x,-y,z'
'x+1/2,y+1/2,z'
'-x+1/2,-y+1/2,-z'
'-x+1/2,y+1/2,-z'
'x+1/2,-y+1/2,z'
loop_
_atom_site_label
_atom_site_type_symbol
_atom_site_fract_x
_atom_site_fract_y
_atom_site_fract_z
_atom_site_occupancy
Al1 Al 0.0000 0.1440 0.0000 1
Si1 Si 0.1699 0.5000 0.4065 1
F1 F 0.2500 0.2500 0.0000 1



[3]
# AlSi2F8 GGA-PBE optimized geometry
# V: 12.3 Å³/atom
# N(E_F): 3.39 states/eV/cell
# Final energy: -117.3 eV/cell
data_AlSi2F8
_chemical_formula_sum 'Al2 Si4 F16'
_symmetry_space_group_name_H-M 'C 1 2/m 1'
_symmetry_Int_Tables_number 12
_cell_length_a 11.9418
_cell_length_b 4.8476
_cell_length_c 4.6818
_cell_angle_alpha 90.00
_cell_angle_beta 93.69
_cell_angle_gamma 90.00
loop_
_symmetry_equiv_pos_as_xyz
'x,y,z'
'-x,-y,-z'
'-x,y,-z'
'x,-y,z'
'x+1/2,y+1/2,z'
'-x+1/2,-y+1/2,-z'
'-x+1/2,y+1/2,-z'
'x+1/2,-y+1/2,z'
loop_
_atom_site_label
_atom_site_type_symbol
_atom_site_fract_x
_atom_site_fract_y
_atom_site_fract_z
_atom_site_occupancy
Al1 Al 0.0000 0.0000 0.0000 1
Si1 Si 0.1953 0.0000 0.3954 1
F1 F 0.0918 0.2344 0.2223 1
F2 F 0.0971 0.0000 0.7129 1
F3 F 0.2248 0.5000 0.8737 1



[4]
# AlSiF GGA-PBE optimized geometry
# V: 18.0 Å³/atom
# N(E_F): 0.17 states/eV/cell
# Relative energy among the computed polymorphs: 77 meV/atom
data_AlSiF
_chemical_formula_sum 'Al4 Si4 F4'
_symmetry_space_group_name_H-M 'C 1 c 1'
_symmetry_Int_Tables_number 9
_cell_length_a 4.1744
_cell_length_b 13.4138
_cell_length_c 4.0342
_cell_angle_alpha 90.00
_cell_angle_beta 107.43
_cell_angle_gamma 90.00
loop_
_symmetry_equiv_pos_as_xyz
'x,y,z'
'x,-y,z+1/2'
'x+1/2,y+1/2,z'
'x+1/2,-y+1/2,z+1/2'
loop_
_atom_site_label
_atom_site_type_symbol
_atom_site_fract_x
_atom_site_fract_y
_atom_site_fract_z
_atom_site_occupancy
Al1 Al 0.0000 0.1470 0.0000 1
Si1 Si 0.0085 0.4500 0.5275 1
F1 F 0.2328 0.2591 0.2122 1



[5]
# AlSiF GGA-PBE optimized geometry
# V: 18.2 Å³/atom
# Relative energy among the computed polymorphs: 42 meV/atom
data_AlSiF
_chemical_formula_sum 'Al2 Si2 F2'
_symmetry_space_group_name_H-M 'P -1'
_symmetry_Int_Tables_number 2
_cell_length_a 3.9979
_cell_length_b 4.2458
_cell_length_c 6.9582
_cell_angle_alpha 84.90
_cell_angle_beta 74.90
_cell_angle_gamma 72.76
loop_
_symmetry_equiv_pos_as_xyz
'x,y,z'
'-x,-y,-z'
loop_
_atom_site_label
_atom_site_type_symbol
_atom_site_fract_x
_atom_site_fract_y
_atom_site_fract_z
_atom_site_occupancy
Al1 Al 0.1138 0.0003 0.2844 1
Si1 Si 0.2038 0.5011 0.1019 1
F1 F 0.2861 0.8298 0.5080 1



[6]
# AlSiF GGA-PBE optimized geometry
# V: 17.2 Å³/atom
# N(E_F): 1.42 states/eV/cell
# Relative energy among the computed polymorphs: 141 meV/atom
data_AlSiF
_chemical_formula_sum 'Al4 Si4 F4'
_symmetry_space_group_name_H-M 'I m m 2'
_symmetry_Int_Tables_number 44
_cell_length_a 2.8464
_cell_length_b 13.6236
_cell_length_c 5.3320
_cell_angle_alpha 90.00
_cell_angle_beta 90.00
_cell_angle_gamma 90.00
loop_
_symmetry_equiv_pos_as_xyz
'x,y,z'
'-x,-y,z'
'-x,y,z'
'x,-y,z'
'x+1/2,y+1/2,z+1/2'
'-x+1/2,-y+1/2,z+1/2'
'-x+1/2,y+1/2,z+1/2'
'x+1/2,-y+1/2,z+1/2'
loop_
_atom_site_label
_atom_site_type_symbol
_atom_site_fract_x
_atom_site_fract_y
_atom_site_fract_z
_atom_site_occupancy
Al1 Al 0.0000 0.1177 0.0000 1
Si1 Si 0.0000 0.0000 0.6571 1
Si2 Si 0.0000 0.5000 0.7834 1
F1 F 0.0000 0.2907 0.4855 1



[7]
# AlSiF GGA-PBE optimized geometry
# V: 16.8 Å³/atom
# N(E_F): 0.31 states/eV/cell
# Relative energy among the computed polymorphs: 33 meV/atom
data_AlSiF
_chemical_formula_sum 'Al8 Si8 F8'
_symmetry_space_group_name_H-M 'F 2 2 2'
_symmetry_Int_Tables_number 22
_symmetry_space_group_name_Hall 'F 2 2'
_cell_length_a 3.9366
_cell_length_b 7.9108
_cell_length_c 12.9720
_cell_angle_alpha 90.00
_cell_angle_beta 90.00
_cell_angle_gamma 90.00
loop_
_atom_site_label
_atom_site_type_symbol
_atom_site_fract_x
_atom_site_fract_y
_atom_site_fract_z
_atom_site_occupancy
Al1 Al 0.0000 0.0000 0.1440 1
Si1 Si 0.2500 0.2500 0.5545 1
F1 F 0.2500 0.0909 0.2500 1



[8]
# Al2SiF GGA-PBE optimized geometry
# V: 14.4 Å³/atom
# N(E_F): 5.12 states/eV/cell
# Final energy: -68.5 eV/cell
data_Al2SiF
_chemical_formula_sum 'Al8 Si4 F4'
_symmetry_space_group_name_H-M 'F m -3 m'
_symmetry_Int_Tables_number 225
_symmetry_space_group_name_Hall '-F 4 2 3'
_cell_length_a 6.1242
_cell_length_b 6.1242
_cell_length_c 6.1242
_cell_angle_alpha 90.00
_cell_angle_beta 90.00
_cell_angle_gamma 90.00
loop_
_atom_site_label
_atom_site_type_symbol
_atom_site_fract_x
_atom_site_fract_y
_atom_site_fract_z
_atom_site_occupancy
Al1 Al 0.2500 0.2500 0.2500 1
Si1 Si 0.0000 0.0000 0.0000 1
F1 F 0.0000 0.0000 0.5000 1



- What is the V in the seventh record?
  16.8 Å³/atom



- Among the records above, which one has the highest V?
  number 5



- Look up the V of the second one.
  15.9 Å³/atom